# Zr2InC, optimized geometry, DFT GGA-PBE
data_Zr2InC
_space_group_name_H-M_alt 'P 63/m m c'
_space_group_IT_number 194
_space_group_name_Hall '-P 6c 2c'
_cell_length_a 3.3747
_cell_length_b 3.3747
_cell_length_c 15.0817
_cell_angle_alpha 90.00
_cell_angle_beta 90.00
_cell_angle_gamma 120.00
loop_
_atom_site_label
_atom_site_fract_x
_atom_site_fract_y
_atom_site_fract_z
Zr1 0.3333 0.6667 0.0822
In1 0.3333 0.6667 0.7500
C1 0.0000 0.0000 0.0000
# Crystal system = hexagonal
# M_tot = 0.003 μB per cell

---

# RbZnFeTe3, optimized geometry, DFT GGA-PBE
data_RbZnFeTe3
_space_group_name_H-M_alt 'P n m a'
_space_group_IT_number 62
_space_group_name_Hall '-P 2ac 2n'
_cell_length_a 10.8781
_cell_length_b 4.0751
_cell_length_c 16.5995
_cell_angle_alpha 90.00
_cell_angle_beta 90.00
_cell_angle_gamma 90.00
loop_
_atom_site_label
_atom_site_fract_x
_atom_site_fract_y
_atom_site_fract_z
Rb1 0.2472 0.2500 0.0035
Zn1 0.2442 0.7500 0.2091
Fe1 0.0126 0.7500 0.7506
Te1 0.0305 0.7500 0.1367
Te2 0.0419 0.2500 0.6364
Te3 0.2433 0.2500 0.3117
# Crystal system = orthorhombic
# M_tot = 14.318 μB per cell

---

Taking the records one at a time from the top gives total DFT energy (no corrections) values of -7.96, -3.64 eV per atom.